Computed, not measured: crystalline CrInAs2 at its relaxed geometry at the PBE-GGA level of DFT.

Output
- Total moment: 0.31 μB/atom
- SG: Immm, No. 71
- E_form: 0.1408 eV per atom

abc: 6.3576 6.3576 6.3576
angles: 152.80 136.29 52.24
With the nearest neighbours (Å) after each atom.
Sites, in units of the cell vectors:
Cr 0.0000 0.0000 0.0000  4 As 2.46
In 0.5000 0.5000 0.0000  4 Cr 2.80, 2 In 2.99, 4 As 3.07
As 0.1708 0.6708 0.5000  2 Cr 2.46
As 0.8292 0.3292 0.5000  2 Cr 2.46

***

Computed, not measured: crystalline Ta2CoPt at its relaxed geometry at the PBE-GGA level of DFT.

Output
- Total moment: 0.00 μB/atom
- SG: Cm, No. 8
- E_form: -0.2814 eV per atom

abc: 4.8058 4.8058 4.8934
angles: 99.59 99.59 34.31
With the nearest neighbours (Å) after each atom.
Sites, in units of the cell vectors:
Ta 0.0000 0.0000 0.0000  3 Pt 2.63-2.74, 4 Co 2.81-2.84, 3 Ta 2.84-2.90
Ta 0.2335 0.2335 0.6705  3 Co 2.63-2.66, 4 Pt 2.74-2.93, 3 Ta 2.84-2.90
Co 0.4937 0.4937 0.5017  7 Ta 2.63-2.84, 2 Pt 2.83, 2 Co 2.84
Pt 0.7522 0.7522 0.1986  7 Ta 2.63-2.93, 2 Co 2.83, 2 Pt 2.84